Entry 1:
A geometry-optimized Tb6Pm3NdEr2 structure, computed with PBE-GGA.

Cell: 6.209 10.747 11.878 Å, 90.00 99.99 90.00°
Space group C2/m (No. 12)
Inequivalent atoms, fractional coordinates:
Tb  0.249  0.000  0.248 (multiplicity 4)
Tb  0.250  0.167  0.752 (multiplicity 8)
Pm  0.000  0.000  0.500 (multiplicity 2)
Pm  0.000  0.333  0.500 (multiplicity 4)
Nd  0.000  0.500  0.000 (multiplicity 2)
Er  0.000  0.167  0.000 (multiplicity 4)

Computed properties:
- Crystal system: monoclinic
- Total DFT energy (no corrections): -4.65 eV/atom
- DFT formation energy: 0.2 eV/f.u.
- N(E_F): 30.62 states/eV/cell


Entry 2:
A geometry-optimized Tb6Pm3Nd2Er structure, computed with PBE-GGA.

Cell: 6.237 10.797 11.909 Å, 90.00 100.03 90.00°
Space group C2/m (No. 12)
Inequivalent atoms, fractional coordinates:
Tb  0.249  0.000  0.250 (multiplicity 4)
Tb  0.250  0.166  0.749 (multiplicity 8)
Pm  0.000  0.167  0.000 (multiplicity 4)
Pm  0.000  0.500  0.000 (multiplicity 2)
Nd  0.000  0.334  0.500 (multiplicity 4)
Er  0.000  0.000  0.500 (multiplicity 2)

Computed properties:
- Crystal system: monoclinic
- Total DFT energy (no corrections): -4.66 eV/atom
- DFT formation energy: 0.2 eV/f.u.
- N(E_F): 29.98 states/eV/cell


Entry 3:
A geometry-optimized TbPm2NdEr5 structure, computed with PBE-GGA.

Cell: 8.606 8.606 15.593 Å, 90.00 90.00 90.00°
Space group I4/mcm (No. 140)
Inequivalent atoms, fractional coordinates:
Tb  0.000  0.000  0.250 (multiplicity 4)
Pm  0.118  0.382  0.000 (multiplicity 8)
Nd  0.000  0.500  0.250 (multiplicity 4)
Er  0.000  0.000  0.000 (multiplicity 4)
Er  0.209  0.291  0.362 (multiplicity 16)

Computed properties:
- Crystal system: tetragonal
- Total DFT energy (no corrections): -4.37 eV/atom
- DFT formation energy: 2.3 eV/f.u.
- N(E_F): 39.47 states/eV/cell


Entry 4:
A geometry-optimized TbPmNd5Er2 structure, computed with PBE-GGA.

Cell: 5.673 20.424 10.739 Å, 90.00 90.00 90.00°
Space group Cmc2_1 (No. 36)
Inequivalent atoms, fractional coordinates:
Tb  0.000  0.089  0.000 (multiplicity 4)
Pm  0.000  0.299  0.553 (multiplicity 4)
Nd  0.000  0.020  0.286 (multiplicity 4)
Nd  0.000  0.110  0.568 (multiplicity 4)
Nd  0.000  0.203  0.247 (multiplicity 4)
Nd  0.000  0.219  0.853 (multiplicity 4)
Nd  0.000  0.484  0.565 (multiplicity 4)
Er  0.000  0.384  0.860 (multiplicity 4)
Er  0.000  0.389  0.281 (multiplicity 4)

Computed properties:
- Crystal system: orthorhombic
- Total DFT energy (no corrections): -4.56 eV/atom
- DFT formation energy: 1.3 eV/f.u.
- N(E_F): 56.76 states/eV/cell


Entry 5:
A geometry-optimized Tb2Pm6NdEr structure, computed with PBE-GGA.

Cell: 9.255 15.288 9.671 Å, 90.00 97.19 90.00°
Space group C2/c (No. 15)
Inequivalent atoms, fractional coordinates:
Tb  0.248  0.050  0.454 (multiplicity 8)
Pm  0.062  0.319  0.945 (multiplicity 8)
Pm  0.099  0.109  0.118 (multiplicity 8)
Pm  0.212  0.277  0.313 (multiplicity 8)
Nd  0.000  0.474  0.250 (multiplicity 4)
Er  0.000  0.089  0.750 (multiplicity 4)

Computed properties:
- Crystal system: monoclinic
- Total DFT energy (no corrections): -4.59 eV/atom
- DFT formation energy: 1.1 eV/f.u.
- N(E_F): 55.98 states/eV/cell


Entry 6:
A geometry-optimized TbPmNd4Er2 structure, computed with PBE-GGA.

Cell: 6.267 3.631 11.930 Å, 90.00 100.19 90.00°
Space group P2/m (No. 10)
Inequivalent atoms, fractional coordinates:
Tb  0.000  0.000  0.000 (multiplicity 1)
Pm  0.000  0.500  0.500 (multiplicity 1)
Nd  0.251  0.000  0.753 (multiplicity 2)
Nd  0.251  0.500  0.250 (multiplicity 2)
Er  0.500  0.000  0.500 (multiplicity 1)
Er  0.500  0.500  0.000 (multiplicity 1)

Computed properties:
- Crystal system: monoclinic
- Total DFT energy (no corrections): -4.68 eV/atom
- DFT formation energy: 0.1 eV/f.u.
- N(E_F): 10.71 states/eV/cell


total DFT energy (no corrections) of number 5 (Tb2Pm6NdEr)?
-4.59 eV/atom